DFT (PBE with a Hubbard U) results for crystalline NaCoHF2 at its relaxed geometry.

Cell lengths 4.538, 4.538, 2.994 Å; angles 90.00, 90.00, 90.00 degrees
Atoms (fractional coordinates):
Na 0.000 0.000 0.000
Co 0.500 0.500 0.000
H 0.500 0.500 0.500
F 0.000 0.500 0.500
F 0.500 0.000 0.500

Results
The space group is P4/mmm. Its total magnetization is 0.599 μB/atom. Its total energy is -18.15 eV per cell.